Below is a crystal of POsAu2 relaxed with PBEsol, with properties calculated at the SCAN level.

Calculated values
ΔH_f (0 K)	0.755	eV/atom
M_tot	0.0000	μB/atom
calculated total energy	-54.393	eV per atom

Cell and atoms, written as extended XYZ:
```
4
Lattice="4.299 0.000 0.000 -2.149 3.951 0.038 0.000 2.304 3.629" Properties=species:S:1:pos:R:3 pbc="T T T"
Au 0.000 0.000 0.000
Au 0.000 2.552 0.926
Os 2.149 1.152 1.815
P 2.149 3.704 2.741
```